{
  "formula": "BaCaAl2",
  "functional": "PBEsol",
  "state": "optimized geometry",
  "n_ef_per_ev_atom": 1.287,
  "final_energy_ev_per_atom": -3.133,
  "relative_energy_mev_per_atom": 124,
  "delta_e_f_mev_per_atom": -17,
  "lattice": [[-3.157, 1.720, -0.389], [-1.284, -1.696, 2.925], [3.070, 6.837, 5.312]],
  "species": ["Al", "Ca", "Ba", "Al"],
  "fractional_positions": [[0.000, 0.000, 0.050], [0.500, 0.500, 0.824], [0.000, 0.000, 0.445], [0.500, 0.500, 0.181]]
}

=====

{
  "formula": "KY3Sc",
  "functional": "PBEsol",
  "state": "optimized geometry",
  "n_ef_per_ev_atom": 0.988,
  "final_energy_ev_per_atom": -4.975,
  "delta_e_f_mev_per_atom": 666,
  "lattice": [[5.682, 0.000, 0.000], [0.000, 5.682, 0.000], [0.000, 0.000, 5.682]],
  "species": ["K", "Y", "Y", "Y", "Sc"],
  "fractional_positions": [[0.500, 0.500, 0.500], [0.000, 0.500, 0.000], [0.500, 0.000, 0.000], [0.000, 0.000, 0.500], [0.000, 0.000, 0.000]]
}

=====

{
  "formula": "AgPt3",
  "functional": "PBEsol",
  "state": "optimized geometry",
  "n_ef_per_ev_atom": 1.290,
  "final_energy_ev_per_atom": -6.049,
  "delta_e_f_mev_per_atom": 1,
  "lattice": [[-2.009, -0.406, 1.838], [-0.990, -2.534, 0.420], [5.354, -2.362, 7.391]],
  "species": ["Pt", "Ag", "Pt", "Pt"],
  "fractional_positions": [[0.249, 0.249, 0.253], [0.000, 0.000, 0.000], [0.751, 0.751, 0.747], [0.500, 0.500, 0.500]]
}